No. 1
Compound: SrY3Ir
Source: Alexandria via LeMat-Bulk
Functional: GGA-PBE
Structure: optimized geometry

Cell lengths 9.269, 9.269, 9.269 Å; angles 121.31, 121.31, 87.74 degrees
Positions (direct):
Sr 0.000 0.000 0.000
Sr 0.750 0.250 0.500
Y 0.023 0.336 0.313
Y 0.023 0.710 0.687
Y 0.226 0.226 0.000
Y 0.290 0.977 0.313
Y 0.664 0.977 0.687
Y 0.774 0.774 0.000
Ir 0.157 0.657 0.500
Ir 0.343 0.843 0.500

Output
polymorph energy (0 for the lowest one) = 1704.2 meV per atom
density of states at the Fermi level = 0.818 states/eV per atom
space-group type = I-4m2 (119)

***

No. 2
Compound: La4TbSm10
Source: Alexandria via LeMat-Bulk
Functional: GGA-PBE
Structure: optimized geometry

Cell lengths 8.839, 8.839, 8.839 Å; angles 111.45, 111.45, 105.59 degrees
Positions (direct):
La 0.059 0.670 0.729
La 0.330 0.059 0.388
La 0.670 0.941 0.612
La 0.941 0.330 0.271
Tb 0.000 0.000 0.000
Sm 0.133 0.224 0.679
Sm 0.224 0.545 0.091
Sm 0.250 0.750 0.500
Sm 0.454 0.133 0.909
Sm 0.455 0.546 0.679
Sm 0.545 0.454 0.321
Sm 0.546 0.867 0.091
Sm 0.750 0.250 0.500
Sm 0.776 0.455 0.909
Sm 0.867 0.776 0.321

Output
density of states at the Fermi level = 1.397 states/eV per atom
space-group type = I4/m (87)

***

No. 3
Compound: AlTcBPt2
Source: Alexandria via LeMat-Bulk
Functional: GGA-PBE
Structure: optimized geometry

Cell lengths 4.456, 4.456, 4.574 Å; angles 90.00, 90.00, 90.00 degrees
Positions (direct):
Al 0.000 0.000 0.000
Tc 0.000 0.000 0.500
B 0.500 0.500 0.500
Pt 0.000 0.500 0.000
Pt 0.500 0.000 0.000

Output
density of states at the Fermi level = 1.049 states/eV per atom
space-group type = P4/mmm (123)

***

no.,ΔE_f (eV/atom)
1,1.33
2,0.32
3,1.62